Entry 1:
Density functional theory data (SCAN) for K2Na2IrO4 at its PBEsol-relaxed geometry. Values from VASP.

ΔE_f (raw)   -33.17 kcal/mol of atoms
Total magnetization   12.00 μB/cell

```
&SYSTEM
  ibrav = 0, nat = 36, ntyp = 4
/
ATOMIC_SPECIES
K 39.10 K.upf
Na 22.99 Na.upf
Ir 192.22 Ir.upf
O 16.00 O.upf
ATOMIC_POSITIONS crystal
K 0.163 0.499 0.362
K 0.380 0.718 0.634
K 0.620 0.282 0.366
K 0.120 0.782 0.134
K 0.880 0.218 0.866
K 0.837 0.501 0.638
K 0.663 0.999 0.138
K 0.337 0.001 0.862
Na 0.524 0.595 0.114
Na 0.660 0.093 0.608
Na 0.340 0.907 0.392
Na 0.976 0.905 0.614
Na 0.160 0.593 0.892
Na 0.024 0.095 0.386
Na 0.840 0.407 0.108
Na 0.476 0.405 0.886
Ir 0.744 0.729 0.371
Ir 0.256 0.271 0.629
Ir 0.244 0.229 0.129
Ir 0.756 0.771 0.871
O 0.993 0.279 0.532
O 0.507 0.221 0.032
O 0.210 0.432 0.731
O 0.710 0.932 0.769
O 0.697 0.898 0.468
O 0.803 0.602 0.968
O 0.007 0.721 0.468
O 0.197 0.398 0.032
O 0.018 0.759 0.775
O 0.982 0.241 0.225
O 0.482 0.741 0.275
O 0.303 0.102 0.532
O 0.518 0.259 0.725
O 0.790 0.568 0.269
O 0.290 0.068 0.231
O 0.493 0.779 0.968
CELL_PARAMETERS angstrom
-3.558 -0.716 -4.728
-2.046 -6.616 5.596
-7.721 6.473 4.830
```

=====

Entry 2:
Density functional theory data (SCAN) for K2NbIr at its PBEsol-relaxed geometry. Values from VASP.

Calculated formation energy   1.735 eV per atom
Total magnetization   4.00 μB/cell

```
&SYSTEM
  ibrav = 0, nat = 4, ntyp = 3
/
ATOMIC_SPECIES
Nb 92.91 Nb.upf
Ir 192.22 Ir.upf
K 39.10 K.upf
ATOMIC_POSITIONS crystal
Nb 0.000 0.000 0.000
Ir 0.500 0.500 0.500
K 0.250 0.250 0.250
K 0.750 0.750 0.750
CELL_PARAMETERS angstrom
5.196 0.000 0.000
2.598 4.500 0.000
2.598 1.500 4.242
```

=====

Entry 3:
Density functional theory data (SCAN) for KNiIr at its PBEsol-relaxed geometry. Values from VASP.

Calculated formation energy   2.382 eV per atom
Total magnetization   1.90 μB/cell
Offset from the most stable computed form   1012 meV per atom

```
&SYSTEM
  ibrav = 0, nat = 3, ntyp = 3
/
ATOMIC_SPECIES
Ir 192.22 Ir.upf
K 39.10 K.upf
Ni 58.69 Ni.upf
ATOMIC_POSITIONS crystal
Ir 0.500 0.500 0.500
K 0.250 0.250 0.250
Ni 0.000 0.000 0.000
CELL_PARAMETERS angstrom
4.410 0.000 0.000
2.205 3.820 0.000
2.205 1.273 3.601
```

=====

For reference, electronic total energy by record: -536.23 -113.94 -88.45 eV for the cell shown.